# 1
Crystalline Al2OsBr at its relaxed geometry, computed with PBE.

a b c (Å): 5.1630 5.1630 5.1630
angles (deg): 143.57 123.08 69.48
Fractional coordinates of all 4 atoms:
Os1 0.2500 0.7500 0.5000
Al1 0.0125 0.0125 0.0000
Al2 0.4875 0.4875 0.0000
Br1 0.7500 0.2500 0.5000

Energy relative to the lowest polymorph listed for this composition   771.9 meV/atom

---

# 2
Crystalline Al2OsBr at its relaxed geometry, computed with PBE.

a b c (Å): 3.0940 3.0940 7.4917
angles (deg): 90.00 90.00 90.00
Fractional coordinates of all 4 atoms:
Os1 0.5000 0.5000 0.7500
Al1 0.0000 0.0000 0.9374
Al2 0.0000 0.0000 0.5626
Br1 0.5000 0.5000 0.2500

Energy relative to the lowest polymorph listed for this composition   180.2 meV/atom

---

# 3
Crystalline AlOsBr2 at its relaxed geometry, computed with PBE.

a b c (Å): 9.2978 9.2978 9.2978
angles (deg): 23.12 23.12 23.12
Fractional coordinates of all 4 atoms:
Os1 0.2500 0.2500 0.2500
Al1 0.7500 0.7500 0.7500
Br1 0.9656 0.9656 0.9656
Br2 0.5344 0.5344 0.5344

Energy relative to the lowest polymorph listed for this composition   727.7 meV/atom

---

# 4
Crystalline AlOsBr2 at its relaxed geometry, computed with PBE.

a b c (Å): 5.0580 5.0580 5.0580
angles (deg): 129.85 129.85 73.65
Fractional coordinates of all 4 atoms:
Os1 0.5000 0.5000 0.0000
Al1 0.7500 0.2500 0.5000
Br1 0.0000 0.0000 0.0000
Br2 0.2500 0.7500 0.5000

Energy relative to the lowest polymorph listed for this composition   1045.6 meV/atom

---

# 5
Crystalline Al2OsBr at its relaxed geometry, computed with PBE.

a b c (Å): 3.0075 4.7286 4.6720
angles (deg): 90.00 90.00 90.00
Fractional coordinates of all 4 atoms:
Os1 0.0000 0.5000 0.5000
Al1 0.0000 0.0000 0.0000
Al2 0.5000 0.5000 0.0000
Br1 0.5000 0.0000 0.5000

Energy relative to the lowest polymorph listed for this composition   941.8 meV/atom

---

# 6
Crystalline AlOsBr3 at its relaxed geometry, computed with PBE.

a b c (Å): 5.1227 5.1227 5.1227
angles (deg): 90.00 90.00 90.00
Last column: magnetic moment on the atom in μB.
Fractional coordinates of all 5 atoms:
Al1 0.5000 0.5000 0.5000  0.01
Os1 0.0000 0.0000 0.0000  0.72
Br1 0.0000 0.5000 0.0000  0.03
Br2 0.0000 0.0000 0.5000  0.03
Br3 0.5000 0.0000 0.0000  0.03

---

# 7
Crystalline AlOsBr2 at its relaxed geometry, computed with PBE.

a b c (Å): 3.3896 3.3896 9.6555
angles (deg): 90.00 90.00 124.87
Fractional coordinates of all 4 atoms:
Os1 0.0000 0.0000 0.5243
Al1 0.5000 0.5000 0.7268
Br1 0.0000 0.0000 0.9287
Br2 0.5000 0.5000 0.3202

Energy relative to the lowest polymorph listed for this composition   260.4 meV/atom

---

# 8
Crystalline Al2OsBr at its relaxed geometry, computed with PBE.

a b c (Å): 5.1617 5.1617 4.4447
angles (deg): 95.32 95.32 35.05
Fractional coordinates of all 4 atoms:
Os1 0.2798 0.2798 0.1477
Al1 0.0187 0.0187 0.1007
Al2 0.7288 0.7288 0.6553
Br1 0.4727 0.4727 0.5963

Energy relative to the lowest polymorph listed for this composition   502.0 meV/atom

---

# 9
Crystalline AlOsBr2 at its relaxed geometry, computed with PBE.

a b c (Å): 3.2162 3.7253 7.8545
angles (deg): 90.00 90.00 90.00
Fractional coordinates of all 4 atoms:
Os1 0.0000 0.0000 0.5908
Al1 0.5000 0.5000 0.6653
Br1 0.0000 0.0000 0.9096
Br2 0.5000 0.5000 0.3344

Energy relative to the lowest polymorph listed for this composition   257.2 meV/atom

---

# 10
Crystalline AlOsBr2 at its relaxed geometry, computed with PBE.

a b c (Å): 4.8812 4.8813 3.1632
angles (deg): 90.00 90.00 90.17
Last column: magnetic moment on the atom in μB.
Fractional coordinates of all 4 atoms:
Os1 0.5000 0.0000 0.5000  0.42
Al1 0.0000 0.5000 0.5000  0.01
Br1 0.0000 0.0000 0.0000  0.02
Br2 0.5000 0.5000 0.0000  0.02

Energy relative to the lowest polymorph listed for this composition   1070.9 meV/atom

---

# 11
Crystalline Al2OsBr at its relaxed geometry, computed with PBE.

a b c (Å): 4.8353 4.8353 4.8353
angles (deg): 130.12 130.12 73.21
Fractional coordinates of all 4 atoms:
Os1 0.7500 0.2500 0.5000
Al1 0.0000 0.0000 0.0000
Al2 0.5000 0.5000 0.0000
Br1 0.2500 0.7500 0.5000

Energy relative to the lowest polymorph listed for this composition   768.7 meV/atom

---

# 12
Crystalline AlOsBr2 at its relaxed geometry, computed with PBE.

a b c (Å): 9.6290 9.6290 9.6290
angles (deg): 19.54 19.54 19.54
Last column: magnetic moment on the atom in μB.
Fractional coordinates of all 4 atoms:
Os1 0.4887 0.4887 0.4887  0.20
Al1 0.7597 0.7597 0.7597  0.00
Br1 0.0291 0.0291 0.0291  0.00
Br2 0.2225 0.2225 0.2225  0.05

Energy relative to the lowest polymorph listed for this composition   69.2 meV/atom

---

# 13
Crystalline AlOsBr2 at its relaxed geometry, computed with PBE.

a b c (Å): 7.9624 7.9624 7.9624
angles (deg): 157.41 149.78 38.05
Fractional coordinates of all 4 atoms:
Os1 0.7500 0.2500 0.5000
Al1 0.2500 0.7500 0.5000
Br1 0.8932 0.8932 0.0000
Br2 0.6068 0.6068 0.0000

Energy relative to the lowest polymorph listed for this composition   156.8 meV/atom

---

# 14
Crystalline Al4OsBr at its relaxed geometry, computed with PBE.

a b c (Å): 5.2365 5.2365 5.2365
angles (deg): 60.00 60.00 60.00
Fractional coordinates of all 6 atoms:
Al1 0.8775 0.3742 0.3742
Al2 0.3742 0.3742 0.8775
Al3 0.3742 0.8775 0.3742
Al4 0.3742 0.3742 0.3742
Os1 0.0000 0.0000 0.0000
Br1 0.7500 0.7500 0.7500

---

# 15
Crystalline AlOsBr2 at its relaxed geometry, computed with PBE.

a b c (Å): 3.8852 7.1753 7.1797
angles (deg): 38.86 90.00 90.00
Fractional coordinates of all 4 atoms:
Os1 0.5000 0.2500 0.2500
Al1 0.5000 0.7500 0.7500
Br1 0.0000 0.1266 0.1265
Br2 0.0000 0.3734 0.3735

Energy relative to the lowest polymorph listed for this composition   212.1 meV/atom

---

# 16
Crystalline Al2OsBr at its relaxed geometry, computed with PBE.

a b c (Å): 9.0260 9.0260 9.0260
angles (deg): 19.72 19.72 19.72
Fractional coordinates of all 4 atoms:
Os1 0.7323 0.7323 0.7323
Al1 0.9997 0.9997 0.9997
Al2 0.2524 0.2524 0.2524
Br1 0.5156 0.5156 0.5156

Energy relative to the lowest polymorph listed for this composition   625.9 meV/atom

---

# 17
Crystalline AlOsBr2 at its relaxed geometry, computed with PBE.

a b c (Å): 3.2895 3.2895 9.5235
angles (deg): 90.00 90.00 124.39
Fractional coordinates of all 4 atoms:
Os1 0.5000 0.5000 0.2500
Al1 0.5000 0.5000 0.7500
Br1 0.0000 0.0000 0.0381
Br2 0.0000 0.0000 0.4619

Energy relative to the lowest polymorph listed for this composition   754.9 meV/atom

---

# 18
Crystalline AlOsBr2 at its relaxed geometry, computed with PBE.

a b c (Å): 3.9348 4.4058 4.4058
angles (deg): 90.00 90.00 90.00
Fractional coordinates of all 4 atoms:
Os1 0.5000 0.5000 0.0000
Al1 0.5000 0.0000 0.5000
Br1 0.0000 0.0000 0.0000
Br2 0.0000 0.5000 0.5000

Energy relative to the lowest polymorph listed for this composition   1145.5 meV/atom

---

# 19
Crystalline Al2OsBr at its relaxed geometry, computed with PBE.

a b c (Å): 6.5563 4.6977 3.0181
angles (deg): 89.96 62.65 123.38
Fractional coordinates of all 4 atoms:
Os1 0.5000 0.5000 0.0000
Al1 0.0000 0.0000 0.0000
Al2 0.5000 0.0000 0.5000
Br1 0.0000 0.5000 0.5000

Energy relative to the lowest polymorph listed for this composition   598.9 meV/atom

---

# 20
Crystalline Al2OsBr at its relaxed geometry, computed with PBE.

a b c (Å): 3.3624 3.2177 7.7427
angles (deg): 90.06 90.00 90.00
Fractional coordinates of all 4 atoms:
Os1 0.5000 0.7494 0.9750
Al1 0.0000 0.2492 0.8546
Al2 0.5000 0.2500 0.2152
Br1 0.0000 0.2514 0.4552

Energy relative to the lowest polymorph listed for this composition   78.9 meV/atom

---

| no. | raw formation energy (eV per atom) |
| --- | --- |
| 1 | 0.50 |
| 2 | -0.09 |
| 3 | 0.76 |
| 4 | 1.08 |
| 5 | 0.67 |
| 6 | 0.48 |
| 7 | 0.30 |
| 8 | 0.23 |
| 9 | 0.29 |
| 10 | 1.11 |
| 11 | 0.50 |
| 12 | 0.11 |
| 13 | 0.19 |
| 14 | 0.53 |
| 15 | 0.25 |
| 16 | 0.36 |
| 17 | 0.79 |
| 18 | 1.18 |
| 19 | 0.33 |
| 20 | -0.19 |